Record 1
Entry from the Alexandria database: an optimized crystal structure of ThH8Ru2 (PBE).

The structure belongs to space group C2/m (No. 12); the cell edges are 5.230, 8.779 and 3.686 Å and the angles 90.00°, 91.42° and 90.00°. The inequivalent atoms are Th at (0.000, 0.000, 0.000), H at (0.000, 0.303, 0.000), H at (0.045, 0.500, 0.749), H at (0.170, 0.146, 0.510) and Ru at (0.000, 0.329, 0.500).

For the polymorph energy (0 for the lowest one), the calculation gives 0 meV/atom.

Record 2
Entry from the Alexandria database: an optimized crystal structure of ThH2Ru (PBE).

The structure belongs to space group Cmcm (No. 63); the cell edges are 3.794, 12.902 and 4.217 Å and the angles 90.00°, 90.00° and 90.00°. The inequivalent atoms are Th at (0.000, 0.147, 0.250), H at (0.000, 0.055, 0.750), H at (0.000, 0.242, 0.750) and Ru at (0.000, 0.441, 0.250).

For the polymorph energy (0 for the lowest one), the calculation gives 22 meV/atom.

Record 3
Entry from the Alexandria database: an optimized crystal structure of ThH2Ru (PBE).

The structure belongs to space group R-3m (No. 166, hexagonal axes); the cell edges are 4.1622, 4.1622 and 10.9301 Å and the angles 90.00°, 90.00° and 120.00°. The inequivalent atoms are Th at (0.0000, 0.0000, 0.0000), H at (0.0000, 0.0000, 0.3428) and Ru at (0.0000, 0.0000, 0.5000).

For the polymorph energy (0 for the lowest one), the calculation gives 0 meV/atom.

Record 4
Entry from the Alexandria database: an optimized crystal structure of ThH4Ru2 (PBE).

The structure belongs to space group Cccm (No. 66); the cell edges are 5.182, 7.115 and 8.470 Å and the angles 90.00°, 90.00° and 90.00°. The inequivalent atoms are Th at (0.000, 0.000, 0.250), H at (0.179, 0.098, 0.000), H at (0.250, 0.250, 0.368) and Ru at (0.000, 0.314, 0.000).

Record 5
Entry from the Alexandria database: an optimized crystal structure of ThH3Ru (PBE).

The structure belongs to space group Pm-3m (No. 221); the cell edges are 3.751, 3.751 and 3.751 Å and the angles 90.00°, 90.00° and 90.00°. The inequivalent atoms are Th at (0.000, 0.000, 0.000), H at (0.000, 0.500, 0.500) and Ru at (0.500, 0.500, 0.500).

Record 6
Entry from the Alexandria database: an optimized crystal structure of ThH3Ru (PBE).

The structure belongs to space group Pnma (No. 62); the cell edges are 6.021, 5.076 and 7.613 Å and the angles 90.00°, 90.00° and 90.00°. The inequivalent atoms are Th at (0.233, 0.250, 0.073), H at (0.074, 0.056, 0.329), H at (0.249, 0.250, 0.614) and Ru at (0.000, 0.250, 0.755).

Record 7
Entry from the Alexandria database: an optimized crystal structure of Th2HRu (PBE).

The structure belongs to space group R-3m (No. 166, hexagonal axes); the cell edges are 4.1568, 4.1568 and 17.2634 Å and the angles 90.00°, 90.00° and 120.00°. The inequivalent atoms are Th at (0.0000, 0.0000, 0.2466), H at (0.0000, 0.0000, 0.5000) and Ru at (0.0000, 0.0000, 0.0000).

Record 8
Entry from the Alexandria database: an optimized crystal structure of ThH8Ru2 (PBE).

The structure belongs to space group Cmmm (No. 65); the cell edges are 5.636, 9.645 and 3.705 Å and the angles 90.00°, 90.00° and 90.00°. The inequivalent atoms are Th at (0.000, 0.000, 0.000), H at (0.000, 0.244, 0.000), H at (0.000, 0.500, 0.104), H at (0.231, 0.368, 0.500) and Ru at (0.000, 0.227, 0.500).

For the polymorph energy (0 for the lowest one), the calculation gives 101 meV/atom.

| no. | final energy (eV per atom) |
| --- | --- |
| 1 | -4.977 |
| 2 | -6.198 |
| 3 | -6.220 |
| 4 | -5.778 |
| 5 | -5.695 |
| 6 | -5.738 |
| 7 | -7.231 |
| 8 | -4.876 |